a.
{"formula": "NiW2Cl", "functional": "PBE-GGA", "state": "optimized geometry", "space_group": "R-3m (166)", "dos_ef_per_ev_fu": 1.6, "lattice": [[-7.862, -2.872, -2.105], [-6.486, -3.478, -4.509], [-6.405, -5.294, -2.333]], "species": ["Cl", "Ni", "W", "W"], "fractional_positions": [[0.250, 0.250, 0.250], [0.750, 0.750, 0.750], [0.002, 0.002, 0.002], [0.498, 0.498, 0.498]]}


b.
{"formula": "NiW2Cl", "functional": "PBE-GGA", "state": "optimized geometry", "space_group": "Pmmm (47)", "dos_ef_per_ev_fu": 4.3, "lattice": [[2.881, 0.000, 0.000], [0.000, 4.692, 0.000], [0.000, 0.000, 4.529]], "species": ["Cl", "Ni", "W", "W"], "fractional_positions": [[0.500, 0.000, 0.500], [0.000, 0.500, 0.500], [0.000, 0.000, 0.000], [0.500, 0.500, 0.000]]}


Tell me which of them is the least stable. Sure, it is b.


a.
{"formula": "Ni3WCl", "functional": "PBE-GGA", "state": "optimized geometry", "space_group": "Pm-3m (221)", "dos_ef_per_ev_fu": 5.1, "lattice": [[-1.319, 3.739, 1.113], [1.077, -0.780, 3.897], [3.749, 1.540, -0.728]], "species": ["Ni", "Ni", "Ni", "W", "Cl"], "fractional_positions": [[0.000, 0.500, 0.000], [0.000, 0.000, 0.500], [0.500, 0.000, 0.000], [0.500, 0.500, 0.500], [0.000, 0.000, 0.000]]}


b.
{"formula": "Ni3WCl", "functional": "PBE-GGA", "state": "optimized geometry", "space_group": "Pm-3m (221)", "dos_ef_per_ev_fu": 6.5, "lattice": [[4.597, 0.000, 0.000], [0.000, 4.597, 0.000], [0.000, 0.000, 4.597]], "species": ["Ni", "Ni", "Ni", "W", "Cl"], "fractional_positions": [[0.000, 0.500, 0.000], [0.000, 0.000, 0.500], [0.500, 0.000, 0.000], [0.000, 0.000, 0.000], [0.500, 0.500, 0.500]]}


Tell me which of them is the least stable. Sure, it is b.


a.
{"formula": "YNi2Cl", "functional": "PBE-GGA", "state": "optimized geometry", "space_group": "R-3m (166)", "dos_ef_per_ev_fu": 4.8, "lattice": [[7.446, 0.001, 0.001], [6.655, 3.340, 0.001], [6.655, 1.577, 2.945]], "species": ["Cl", "Ni", "Ni", "Y"], "fractional_positions": [[0.750, 0.750, 0.750], [0.007, 0.007, 0.007], [0.493, 0.493, 0.493], [0.250, 0.250, 0.250]]}


b.
{"formula": "YNi2Cl", "functional": "PBE-GGA", "state": "optimized geometry", "space_group": "C2/m (12)", "dos_ef_per_ev_fu": 5.5, "lattice": [[4.140, 0.000, -0.001], [-2.053, 5.373, -0.001], [0.034, 0.996, 3.115]], "species": ["Cl", "Ni", "Ni", "Y"], "fractional_positions": [[0.500, 0.500, 0.000], [0.000, 0.000, 0.000], [0.500, 0.000, 0.500], [0.000, 0.500, 0.500]]}


c.
{"formula": "YNi2Cl", "functional": "PBE-GGA", "state": "optimized geometry", "space_group": "C2/m (12)", "dos_ef_per_ev_fu": 3.4, "lattice": [[5.096, -0.099, -0.645], [4.013, 3.143, -0.645], [0.308, 0.103, 4.180]], "species": ["Cl", "Ni", "Ni", "Y"], "fractional_positions": [[0.250, 0.250, 0.250], [0.029, 0.029, 0.965], [0.471, 0.471, 0.535], [0.750, 0.750, 0.750]]}


d.
{"formula": "YNi2Cl", "functional": "PBE-GGA", "state": "optimized geometry", "space_group": "Cm (8)", "dos_ef_per_ev_fu": 4.8, "lattice": [[-0.279, 2.224, -3.186], [0.433, -1.591, -3.529], [-6.313, -1.157, -0.239]], "species": ["Cl", "Ni", "Ni", "Y"], "fractional_positions": [[0.124, 0.124, 0.282], [0.126, 0.126, 0.842], [0.792, 0.792, 0.820], [0.458, 0.458, 0.556]]}


Tell me which of them is the least stable. Sure, it is a.


a.
{"formula": "YNi2Cl", "functional": "PBE-GGA", "state": "optimized geometry", "space_group": "Pm (6)", "dos_ef_per_ev_fu": 2.7, "lattice": [[3.311, 0.000, 0.000], [0.000, 3.315, -0.052], [0.000, 1.887, 7.366]], "species": ["Cl", "Ni", "Ni", "Y"], "fractional_positions": [[0.500, 0.957, 0.688], [0.000, 0.757, 0.130], [0.500, 0.211, 0.216], [0.000, 0.575, 0.466]]}


b.
{"formula": "YNi2Cl", "functional": "PBE-GGA", "state": "optimized geometry", "space_group": "Imm2 (44)", "dos_ef_per_ev_fu": 1.0, "lattice": [[4.708, -0.055, 0.002], [0.266, 4.701, -0.002], [-1.905, -2.946, 3.140]], "species": ["Cl", "Ni", "Ni", "Y"], "fractional_positions": [[0.194, 0.694, 0.500], [0.989, 0.989, 0.000], [0.805, 0.305, 0.500], [0.513, 0.513, 0.000]]}


Tell me which of them is the least stable. Sure, it is b.


a.
{"formula": "YNi2Cl", "functional": "PBE-GGA", "state": "optimized geometry", "space_group": "Fm-3m (225)", "dos_ef_per_ev_fu": 2.9, "lattice": [[-0.304, 0.032, 4.595], [-3.837, -1.492, 2.064], [0.036, -3.968, 2.338]], "species": ["Y", "Ni", "Ni", "Cl"], "fractional_positions": [[0.500, 0.500, 0.500], [0.250, 0.250, 0.250], [0.750, 0.750, 0.750], [0.000, 0.000, 0.000]]}


b.
{"formula": "YNi2Cl", "functional": "PBE-GGA", "state": "optimized geometry", "space_group": "P2/m (10)", "dos_ef_per_ev_fu": 2.1, "lattice": [[-0.080, -3.477, 2.021], [-1.403, -1.561, -2.741], [4.505, -1.110, -1.730]], "species": ["Cl", "Ni", "Ni", "Y"], "fractional_positions": [[0.500, 0.750, 0.750], [0.000, 0.753, 0.010], [0.000, 0.747, 0.490], [0.500, 0.250, 0.250]]}


Tell me which of them is the least stable. Sure, it is a.


a.
{"formula": "YNiCl2", "functional": "PBE-GGA", "state": "optimized geometry", "space_group": "P4/mmm (123)", "dos_ef_per_ev_fu": 4.9, "lattice": [[3.446, 0.000, 0.000], [0.000, 3.448, 0.000], [0.000, 0.000, 6.288]], "species": ["Y", "Ni", "Cl", "Cl"], "fractional_positions": [[0.500, 0.500, 0.750], [0.500, 0.500, 0.250], [0.000, 0.000, 0.989], [0.000, 0.000, 0.511]]}


b.
{"formula": "YNiCl2", "functional": "PBE-GGA", "state": "optimized geometry", "space_group": "R3m (160)", "dos_ef_per_ev_fu": 2.8, "lattice": [[7.672, 0.109, 0.066], [6.626, 3.868, 0.066], [6.626, 1.843, 3.402]], "species": ["Y", "Ni", "Cl", "Cl"], "fractional_positions": [[0.769, 0.769, 0.769], [0.506, 0.506, 0.506], [0.026, 0.026, 0.026], [0.199, 0.199, 0.199]]}


Tell me which of them is the least stable. Sure, it is a.


a.
{"formula": "YNi3Cl", "functional": "PBE-GGA", "state": "optimized geometry", "space_group": "Pm-3m (221)", "dos_ef_per_ev_fu": 5.4, "lattice": [[-3.382, -2.169, 1.610], [2.690, -2.461, 2.333], [-0.253, 2.823, 3.271]], "species": ["Y", "Ni", "Ni", "Ni", "Cl"], "fractional_positions": [[0.500, 0.500, 0.500], [0.000, 0.500, 0.000], [0.000, 0.000, 0.500], [0.500, 0.000, 0.000], [0.000, 0.000, 0.000]]}


b.
{"formula": "YNi3Cl", "functional": "PBE-GGA", "state": "optimized geometry", "space_group": "Pm-3m (221)", "dos_ef_per_ev_fu": 0.5, "lattice": [[4.858, 0.000, 0.000], [0.000, 4.858, 0.000], [0.000, 0.000, 4.858]], "species": ["Y", "Ni", "Ni", "Ni", "Cl"], "fractional_positions": [[0.000, 0.000, 0.000], [0.000, 0.500, 0.000], [0.000, 0.000, 0.500], [0.500, 0.000, 0.000], [0.500, 0.500, 0.500]]}


Tell me which of them is the least stable. Sure, it is b.


a.
{"formula": "ZnNiCl2", "functional": "PBE-GGA", "state": "optimized geometry", "space_group": "Cm (8)", "dos_ef_per_ev_fu": 3.9, "lattice": [[-0.104, -5.325, 4.342], [-1.854, -6.364, 1.814], [3.483, -2.702, -1.302]], "species": ["Ni", "Zn", "Cl", "Cl"], "fractional_positions": [[0.595, 0.595, 0.186], [0.157, 0.157, 0.518], [0.002, 0.002, 0.040], [0.746, 0.746, 0.755]]}


b.
{"formula": "ZnNiCl2", "functional": "PBE-GGA", "state": "optimized geometry", "space_group": "I-42d (122)", "dos_ef_per_ev_fu": 4.0, "lattice": [[5.677, 0.000, 0.000], [0.000, 5.677, 0.000], [2.838, 2.838, 5.238]], "species": ["Ni", "Ni", "Zn", "Zn", "Cl", "Cl", "Cl", "Cl"], "fractional_positions": [[0.500, 0.500, 0.000], [0.250, 0.750, 0.500], [0.000, 0.000, 0.000], [0.750, 0.250, 0.500], [0.587, 0.125, 0.250], [0.163, 0.625, 0.250], [0.375, 0.413, 0.750], [0.875, 0.837, 0.750]]}


c.
{"formula": "ZnNiCl2", "functional": "PBE-GGA", "state": "optimized geometry", "space_group": "C2/m (12)", "dos_ef_per_ev_fu": 1.1, "lattice": [[4.755, 0.059, 0.258], [-0.271, 4.747, 0.258], [2.019, 2.164, 3.690]], "species": ["Ni", "Zn", "Cl", "Cl"], "fractional_positions": [[0.500, 0.000, 0.500], [0.000, 0.500, 0.500], [0.000, 0.000, 0.000], [0.500, 0.500, 0.000]]}


d.
{"formula": "ZnNiCl2", "functional": "PBE-GGA", "state": "optimized geometry", "space_group": "P4/mmm (123)", "dos_ef_per_ev_fu": 3.1, "lattice": [[3.067, 0.000, 0.000], [0.000, 3.067, 0.000], [0.000, 0.000, 8.668]], "species": ["Ni", "Zn", "Cl", "Cl"], "fractional_positions": [[0.500, 0.500, 0.250], [0.500, 0.500, 0.750], [0.000, 0.000, 0.079], [0.000, 0.000, 0.421]]}


Tell me which of them is the least stable. Sure, it is d.


a.
{"formula": "ZnNiCl2", "functional": "PBE-GGA", "state": "optimized geometry", "space_group": "R-3m (166)", "dos_ef_per_ev_fu": 3.4, "lattice": [[-3.601, -7.796, 3.856], [-1.110, -9.150, 1.911], [-0.378, -7.939, 5.044]], "species": ["Ni", "Zn", "Cl", "Cl"], "fractional_positions": [[0.500, 0.500, 0.500], [0.000, 0.000, 0.000], [0.882, 0.882, 0.882], [0.118, 0.118, 0.118]]}


b.
{"formula": "ZnNiCl2", "functional": "PBE-GGA", "state": "optimized geometry", "space_group": "I-4m2 (119)", "dos_ef_per_ev_fu": 2.6, "lattice": [[-2.539, -6.363, -0.550], [0.446, -5.300, -4.353], [2.979, 4.951, 3.723]], "species": ["Ni", "Zn", "Cl", "Cl"], "fractional_positions": [[0.500, 0.500, 0.000], [0.750, 0.250, 0.500], [0.000, 0.000, 0.000], [0.250, 0.750, 0.500]]}


Tell me which of them is the least stable. Sure, it is b.


a.
{"formula": "ZnNiCl2", "functional": "PBE-GGA", "state": "optimized geometry", "space_group": "F-43m (216)", "dos_ef_per_ev_fu": 7.5, "lattice": [[4.614, 0.000, 0.000], [2.307, 3.995, 0.000], [2.307, 1.332, 3.767]], "species": ["Ni", "Zn", "Cl", "Cl"], "fractional_positions": [[0.500, 0.500, 0.500], [0.750, 0.750, 0.750], [0.000, 0.000, 0.000], [0.250, 0.250, 0.250]]}


b.
{"formula": "ZnNiCl2", "functional": "PBE-GGA", "state": "optimized geometry", "space_group": "Cmmm (65)", "dos_ef_per_ev_fu": 3.5, "lattice": [[-1.672, 2.182, -2.695], [0.302, -3.818, 0.390], [-7.715, -0.131, 4.680]], "species": ["Ni", "Zn", "Cl", "Cl"], "fractional_positions": [[0.500, 0.500, 0.250], [0.500, 0.500, 0.750], [0.000, 0.000, 0.081], [0.000, 0.000, 0.419]]}


c.
{"formula": "ZnNiCl2", "functional": "PBE-GGA", "state": "optimized geometry", "space_group": "Cmm2 (35)", "dos_ef_per_ev_fu": 1.4, "lattice": [[3.736, -0.022, 0.000], [-2.357, 2.899, 0.000], [0.000, 0.000, 8.645]], "species": ["Ni", "Zn", "Cl", "Cl"], "fractional_positions": [[0.000, 0.000, 0.507], [0.500, 0.500, 0.729], [0.000, 0.000, 0.921], [0.500, 0.500, 0.342]]}


Tell me which of them is the least stable. Sure, it is a.


a.
{"formula": "ZnNiCl2", "functional": "PBE-GGA", "state": "optimized geometry", "space_group": "R-3m (166)", "dos_ef_per_ev_fu": 7.1, "lattice": [[2.107, 0.000, 7.144], [-1.054, 1.825, 7.144], [-1.054, -1.825, 7.144]], "species": ["Ni", "Zn", "Cl", "Cl"], "fractional_positions": [[0.000, 0.000, 0.000], [0.500, 0.500, 0.500], [0.902, 0.902, 0.902], [0.098, 0.098, 0.098]]}


b.
{"formula": "ZnNiCl2", "functional": "PBE-GGA", "state": "optimized geometry", "space_group": "C2/m (12)", "dos_ef_per_ev_fu": 1.7, "lattice": [[-3.367, 0.139, -0.662], [-1.161, -0.576, -3.181], [-2.051, -8.957, 0.749]], "species": ["Ni", "Zn", "Cl", "Cl"], "fractional_positions": [[0.750, 0.750, 0.750], [0.250, 0.250, 0.250], [0.040, 0.040, 0.898], [0.460, 0.460, 0.602]]}


c.
{"formula": "ZnNiCl2", "functional": "PBE-GGA", "state": "optimized geometry", "space_group": "Pm (6)", "dos_ef_per_ev_fu": 2.2, "lattice": [[3.391, 0.000, 0.000], [0.000, 3.555, 0.006], [0.000, 1.190, 6.958]], "species": ["Ni", "Zn", "Cl", "Cl"], "fractional_positions": [[0.000, 0.298, 0.581], [0.500, 0.766, 0.674], [0.000, 0.046, 0.889], [0.500, 0.390, 0.356]]}


Tell me which of them is the least stable. Sure, it is a.